(1)
KIn2CoGe: relaxed, PBE.

Output
Crystal system: tetragonal
ΔE_f in meV per atom: 6
E_tot in eV per cell: -18.27
Magnetic moment in μB per formula unit: 0.0

```
data_KIn2CoGe
_chemical_formula_sum 'K1 In2 Co1 Ge1'
_cell_length_a 5.080
_cell_length_b 5.080
_cell_length_c 4.653
_cell_angle_alpha 90.00
_cell_angle_beta 90.00
_cell_angle_gamma 90.00
_space_group_name_H-M_alt 'P 4/m m m'
_space_group_IT_number 123
_space_group_name_Hall '-P 4 2'
loop_
_atom_site_label
_atom_site_fract_x
_atom_site_fract_y
_atom_site_fract_z
K1 0.000 0.000 0.000
In1 0.000 0.500 0.500
Co1 0.500 0.500 0.500
Ge1 0.500 0.500 0.000
```

=====

(2)
La2InCoGe: relaxed, PBE.

Output
Crystal system: tetragonal
ΔE_f in meV per atom: -439
E_tot in eV per cell: -26.51
Magnetic moment in μB per formula unit: 0.0

```
data_La2InCoGe
_chemical_formula_sum 'La2 In1 Co1 Ge1'
_cell_length_a 5.344
_cell_length_b 5.344
_cell_length_c 4.569
_cell_angle_alpha 90.00
_cell_angle_beta 90.00
_cell_angle_gamma 90.00
_space_group_name_H-M_alt 'P 4/m m m'
_space_group_IT_number 123
_space_group_name_Hall '-P 4 2'
loop_
_atom_site_label
_atom_site_fract_x
_atom_site_fract_y
_atom_site_fract_z
La1 0.000 0.500 0.000
In1 0.000 0.000 0.500
Co1 0.500 0.500 0.000
Ge1 0.500 0.500 0.500
```

=====

(3)
LiInCoGe: relaxed, PBE.

Output
Crystal system: cubic
ΔE_f in meV per atom: -90
E_tot in eV per cell: -66.94
Magnetic moment in μB per formula unit: 0.0

```
data_LiInCoGe
_chemical_formula_sum 'Li4 In4 Co4 Ge4'
_cell_length_a 6.178
_cell_length_b 6.178
_cell_length_c 6.178
_cell_angle_alpha 90.00
_cell_angle_beta 90.00
_cell_angle_gamma 90.00
_space_group_name_H-M_alt 'F -4 3 m'
_space_group_IT_number 216
_space_group_name_Hall 'F -4 2 3'
loop_
_atom_site_label
_atom_site_fract_x
_atom_site_fract_y
_atom_site_fract_z
Li1 0.000 0.000 0.000
In1 0.250 0.250 0.750
Co1 0.000 0.000 0.500
Ge1 0.250 0.250 0.250
```